[1]
Here is CaScAs2H at its PBEsol-relaxed geometry from Alexandria. Energies are from SCAN.

It has space group P4/mmm (No. 123), with a = 5.380 Å, b = 5.380 Å, c = 3.532 Å, α = 90.00°, β = 90.00° and γ = 90.00°. The asymmetric unit holds Ca at (0.000, 0.000, 0.000), Sc at (0.500, 0.500, 0.500), As at (0.000, 0.500, 0.000) and H at (0.000, 0.000, 0.500).

[2]
Here is OsRuRh2 at its PBEsol-relaxed geometry from Alexandria. Energies are from SCAN.

It has space group C2/m (No. 12), with a = 8.901 Å, b = 2.670 Å, c = 4.624 Å, α = 90.00°, β = 99.96° and γ = 90.00°. The asymmetric unit holds Os at (0.000, 0.000, 0.000), Ru at (0.000, 0.500, 0.500) and Rh at (0.250, 0.000, 0.750).

The calculation puts the excess energy over the best structure of this formula in the dataset at 0.028 eV per atom. The formation energy from the elements comes out at 69 meV per atom.

[3]
Here is SiOs2Cl at its PBEsol-relaxed geometry from Alexandria. Energies are from SCAN.

It has space group Fm-3m (No. 225), with a = 5.988 Å, b = 5.988 Å, c = 5.988 Å, α = 90.00°, β = 90.00° and γ = 90.00°. The asymmetric unit holds Si at (0.000, 0.000, 0.000), Os at (0.250, 0.250, 0.250) and Cl at (0.000, 0.000, 0.500).

Its formation energy (no corrections) is 0.921 eV per atom. The calculation puts the excess energy over the best structure of this formula in the dataset at 0.069 eV per atom.

[4]
Here is In2Hg at its PBEsol-relaxed geometry from Alexandria. Energies are from SCAN.

It has space group Pnma (No. 62), with a = 6.709 Å, b = 4.617 Å, c = 9.490 Å, α = 90.00°, β = 90.00° and γ = 90.00°. The asymmetric unit holds In at (0.076, 0.250, 0.222), In at (0.151, 0.250, 0.568) and Hg at (0.169, 0.250, 0.897).

The calculation puts the excess energy over the best structure of this formula in the dataset at 0.051 eV per atom. The formation energy from the elements comes out at 48 meV per atom.

no.,raw total energy (eV per cell)
1,-67.68
2,-347.94
3,-632.28
4,-539.18